Density functional theory data (PBE) for a geometry-optimized TaMnHIr2 structure.

a b c (Å): 3.9015 3.9015 4.0160
angles (deg): 90.00 90.00 90.00
With the nearest neighbours (Å) after each atom.
Sites, in units of the cell vectors:
Ta1 0.0000 0.0000 0.0000  2 H 2.01
Mn1 0.5000 0.5000 0.0000  4 Ta 2.76, 8 Ir 2.80
H1 0.0000 0.0000 0.5000  4 Ir 1.95, 2 Ta 2.01
Ir1 0.0000 0.5000 0.5000  2 H 1.95
Ir2 0.5000 0.0000 0.5000  2 H 1.95

SG ... P4/mmm (123)
ΔE to the lowest computed polymorph ... 99 meV per atom


Density functional theory data (PBE) for a geometry-optimized Mn2TcHIr structure.

a b c (Å): 3.7921 3.7921 3.7438
angles (deg): 90.00 90.00 90.00
With the nearest neighbours (Å) after each atom.
Sites, in units of the cell vectors:
Mn1 0.0000 0.5000 0.0000  2 H 1.90
Mn2 0.5000 0.0000 0.0000  2 H 1.90
Tc1 0.0000 0.0000 0.5000  8 Mn 2.66, 4 Ir 2.68
H1 0.5000 0.5000 0.0000  2 Ir 1.87, 4 Mn 1.90
Ir1 0.5000 0.5000 0.5000  2 H 1.87

SG ... P4/mmm (123)
ΔE to the lowest computed polymorph ... 38 meV per atom


Density functional theory data (PBE) for a geometry-optimized Mn2TcHIr structure.

a b c (Å): 3.7642 3.7642 3.7831
angles (deg): 90.00 90.00 90.00
With the nearest neighbours (Å) after each atom.
Sites, in units of the cell vectors:
Mn1 0.0000 0.5000 0.0000  2 H 1.88
Mn2 0.5000 0.0000 0.0000  2 H 1.88
Tc1 0.0000 0.0000 0.5000  2 H 1.89
H1 0.0000 0.0000 0.0000  4 Mn 1.88, 2 Tc 1.89
Ir1 0.5000 0.5000 0.5000  4 Tc 2.66, 8 Mn 2.67

SG ... P4/mmm (123)
ΔE to the lowest computed polymorph ... 0 meV per atom


Density functional theory data (PBE) for a geometry-optimized TiMn2HIr structure.

a b c (Å): 3.7021 3.7021 4.0506
angles (deg): 90.00 90.00 90.00
With the nearest neighbours (Å) after each atom.
Sites, in units of the cell vectors:
Ti1 0.0000 0.0000 0.0000  2 H 2.03
Mn1 0.0000 0.5000 0.5000  2 H 1.85
Mn2 0.5000 0.0000 0.5000  2 H 1.85
H1 0.0000 0.0000 0.5000  4 Mn 1.85, 2 Ti 2.03
Ir1 0.5000 0.5000 0.0000  4 Ti 2.62, 8 Mn 2.74

SG ... P4/mmm (123)
ΔE to the lowest computed polymorph ... 0 meV per atom


Density functional theory data (PBE) for a geometry-optimized TiMnHIr2 structure.

a b c (Å): 3.9173 3.9173 3.8659
angles (deg): 90.00 90.00 90.00
With the nearest neighbours (Å) after each atom.
Sites, in units of the cell vectors:
Ti1 0.0000 0.0000 0.0000  2 H 1.93
Mn1 0.5000 0.5000 0.0000  8 Ir 2.75, 4 Ti 2.77
H1 0.0000 0.0000 0.5000  2 Ti 1.93, 4 Ir 1.96
Ir1 0.0000 0.5000 0.5000  2 H 1.96
Ir2 0.5000 0.0000 0.5000  2 H 1.96

SG ... P4/mmm (123)
ΔE to the lowest computed polymorph ... 33 meV per atom


Density functional theory data (PBE) for a geometry-optimized TiMnHIr2 structure.

a b c (Å): 3.9364 3.9364 3.7937
angles (deg): 90.00 90.00 90.00
With the nearest neighbours (Å) after each atom.
Sites, in units of the cell vectors:
Ti1 0.0000 0.0000 0.0000  8 Ir 2.73, 4 Mn 2.78
Mn1 0.5000 0.5000 0.0000  2 H 1.90
H1 0.5000 0.5000 0.5000  2 Mn 1.90, 4 Ir 1.97
Ir1 0.0000 0.5000 0.5000  2 H 1.97
Ir2 0.5000 0.0000 0.5000  2 H 1.97

SG ... P4/mmm (123)
ΔE to the lowest computed polymorph ... 0 meV per atom


Q: Which value of ΔE to the lowest computed polymorph does entry 5 give?
A: 33 meV per atom